## NpNiOsO6 (GGA+U)

Data for a relaxed structure of NpNiOsO6.

## Properties
- V: 11.70 Å³/atom
- Total DFT energy (no corrections): -7.94 eV per atom

abc: 5.198 5.198 8.997
angles: 90.00 90.00 120.00
Positions (direct):
Np 0.333 0.667 0.250
Np 0.667 0.333 0.750
Ni 0.333 0.667 0.750
Ni 0.667 0.333 0.250
Os 0.000 0.000 0.000
Os 0.000 0.000 0.500
O 0.002 0.319 0.625
O 0.002 0.683 0.875
O 0.317 0.319 0.875
O 0.317 0.998 0.625
O 0.319 0.002 0.125
O 0.319 0.317 0.375
O 0.681 0.683 0.625
O 0.681 0.998 0.875
O 0.683 0.002 0.375
O 0.683 0.681 0.125
O 0.998 0.317 0.125
O 0.998 0.681 0.375